1.
Here is an optimized crystal structure of MnCu2AgSe from Alexandria via LeMat-Bulk. Energies are from PBE.

Unit cell a=4.5218 b=4.5218 c=4.6213 alpha=90.00 beta=90.00 gamma=90.00
With the nearest neighbours (Å) after each atom.
Fractional positions:
Mn1 0.0000 0.0000 0.0000  2 Se 2.31
Cu1 0.0000 0.5000 0.5000  2 Se 2.26
Cu2 0.5000 0.0000 0.5000  2 Se 2.26
Ag1 0.5000 0.5000 0.0000  4 Mn 3.20, 8 Cu 3.23
Se1 0.0000 0.0000 0.5000  4 Cu 2.26, 2 Mn 2.31

- mass density (g cm⁻³) = 6.48
- raw formation energy (meV per atom) = 509
- SG = P4/mmm (123)

---

2.
Here is an optimized crystal structure of TaPOs2 from Alexandria via LeMat-Bulk. Energies are from PBE.

Unit cell a=2.9533 b=3.8139 c=5.3981 alpha=90.00 beta=90.00 gamma=90.00
With the nearest neighbours (Å) after each atom.
Fractional positions:
Ta1 0.0000 0.0000 0.0000  6 Os 2.55-2.85
P1 0.5000 0.5000 0.6652  5 Os 2.43-2.52
Os1 0.0000 0.0000 0.5276  4 P 2.52, 1 Ta 2.55
Os2 0.5000 0.5000 0.2154  1 P 2.43, 4 Ta 2.68

- mass density (g cm⁻³) = 16.18
- calculated formation energy (kcal/mol of atoms) = 1.20
- SG = Pmm2 (25)

---

Listing DFT total energy for the structures above in their given order: -4.230, -9.878 eV/atom.
Listing magnetization for the structures above in their given order: 3.4, 0.0 Bohr magnetons per cell.